La3Pm6Dy2: optimized geometry, PBE.

Unit cell a=3.653 b=3.653 c=32.956 alpha=86.82 beta=86.82 gamma=60.00
Sites, in units of the cell vectors:
La  0.272  0.272  0.185
La  0.000  0.000  0.000
La  0.728  0.728  0.815
Pm  0.818  0.818  0.546
Pm  0.093  0.093  0.722
Pm  0.907  0.907  0.278
Pm  0.636  0.636  0.092
Pm  0.364  0.364  0.908
Pm  0.182  0.182  0.454
Dy  0.545  0.545  0.366
Dy  0.455  0.455  0.634

Results
The energy of formation is 17 kJ/mol of formula units.